A geometry-optimized NbNiSe3 structure, computed with PBE.

abc: 6.307 3.536 10.149
angles: 90.00 103.00 90.00
Sites, in units of the cell vectors:
1 Nb 0.174 0.250 0.451
2 Nb 0.826 0.750 0.549
3 Ni 0.459 0.250 0.849
4 Ni 0.541 0.750 0.151
5 Se 0.084 0.250 0.691
6 Se 0.334 0.250 0.048
7 Se 0.433 0.750 0.365
8 Se 0.567 0.250 0.635
9 Se 0.666 0.750 0.952
10 Se 0.916 0.750 0.309

Formation energy without anion corrections   -2.2 eV per formula unit
Calculated volume   220.56 Å³/cell
Density of states at the Fermi level   0.592 states/eV/atom
Distance to the lowest polymorph of the same formula   126 meV/atom

A geometry-optimized Y2Zn2W structure, computed with PBE.

abc: 7.783 7.783 3.465
angles: 90.00 90.00 90.00
Sites, in units of the cell vectors:
1 Y 0.186 0.314 0.000
2 Y 0.314 0.814 0.000
3 Y 0.686 0.186 0.000
4 Y 0.814 0.686 0.000
5 Zn 0.115 0.615 0.500
6 Zn 0.385 0.115 0.500
7 Zn 0.615 0.885 0.500
8 Zn 0.885 0.385 0.500
9 W 0.000 0.000 0.500
10 W 0.500 0.500 0.500

Calculated volume   209.88 Å³/cell
Density of states at the Fermi level   1.237 states/eV/atom
Distance to the lowest polymorph of the same formula   0 meV/atom
ΔE_f   0.258 eV per atom

A geometry-optimized NbGaPt3 structure, computed with PBE.

abc: 4.580 4.580 4.580
angles: 90.00 90.00 90.00
Sites, in units of the cell vectors:
1 Nb 0.000 0.000 0.000
2 Ga 0.500 0.500 0.500
3 Pt 0.000 0.500 0.500
4 Pt 0.500 0.000 0.500
5 Pt 0.500 0.500 0.000

Calculated volume   96.08 Å³/cell
Density of states at the Fermi level   1.523 states/eV/atom
Distance to the lowest polymorph of the same formula   0 meV/atom
ΔE_f   0.583 eV per atom

A geometry-optimized AcSm3Bi3 structure, computed with PBE.

abc: 8.477 8.477 8.477
angles: 69.14 69.14 69.14
Sites, in units of the cell vectors:
1 Ac 0.166 0.166 0.166
2 Ac 0.834 0.834 0.834
3 Sm 0.153 0.680 0.414
4 Sm 0.320 0.586 0.847
5 Sm 0.414 0.153 0.680
6 Sm 0.586 0.847 0.320
7 Sm 0.680 0.414 0.153
8 Sm 0.847 0.320 0.586
9 Bi 0.039 0.419 0.791
10 Bi 0.209 0.961 0.581
11 Bi 0.419 0.791 0.039
12 Bi 0.581 0.209 0.961
13 Bi 0.791 0.039 0.419
14 Bi 0.961 0.581 0.209

Calculated volume   513.33 Å³/cell
Density of states at the Fermi level   0.731 states/eV/atom
ΔE_f   -0.678 eV per atom

A geometry-optimized AlBNO2 structure, computed with PBE.

abc: 3.522 3.522 4.151
angles: 90.00 90.00 90.00
Sites, in units of the cell vectors:
1 Al 0.000 0.000 0.000
2 B 0.500 0.500 0.500
3 N 0.000 0.000 0.500
4 O 0.000 0.500 0.000
5 O 0.500 0.000 0.000

Formation energy without anion corrections   2.3 eV per formula unit
Calculated volume   51.49 Å³/cell
Density of states at the Fermi level   0.511 states/eV/atom

A geometry-optimized LaPSe2 structure, computed with PBE.

abc: 6.101 7.134 9.409
angles: 90.00 90.00 90.00
Sites, in units of the cell vectors:
1 La 0.000 0.000 0.000
2 La 0.000 0.500 0.500
3 La 0.500 0.000 0.500
4 La 0.500 0.500 0.000
5 P 0.000 0.000 0.500
6 P 0.000 0.500 0.000
7 P 0.500 0.000 0.000
8 P 0.500 0.500 0.500
9 Se 0.000 0.250 0.250
10 Se 0.000 0.250 0.750
11 Se 0.000 0.750 0.250
12 Se 0.000 0.750 0.750
13 Se 0.500 0.250 0.250
14 Se 0.500 0.250 0.750
15 Se 0.500 0.750 0.250
16 Se 0.500 0.750 0.750

Formation energy without anion corrections   -2.8 eV per formula unit
Calculated volume   409.53 Å³/cell
Density of states at the Fermi level   0.571 states/eV/atom

A geometry-optimized CsRe2Os structure, computed with PBE.

abc: 6.576 6.576 6.576
angles: 90.00 90.00 90.00
Sites, in units of the cell vectors:
1 Cs 0.000 0.000 0.000
2 Cs 0.000 0.500 0.500
3 Cs 0.500 0.000 0.500
4 Cs 0.500 0.500 0.000
5 Re 0.250 0.250 0.250
6 Re 0.250 0.250 0.750
7 Re 0.250 0.750 0.250
8 Re 0.250 0.750 0.750
9 Re 0.750 0.250 0.250
10 Re 0.750 0.250 0.750
11 Re 0.750 0.750 0.250
12 Re 0.750 0.750 0.750
13 Os 0.000 0.000 0.500
14 Os 0.000 0.500 0.000
15 Os 0.500 0.000 0.000
16 Os 0.500 0.500 0.500

Calculated volume   284.39 Å³/cell
Density of states at the Fermi level   0.593 states/eV/atom
Distance to the lowest polymorph of the same formula   55 meV/atom
ΔE_f   2.161 eV per atom

A geometry-optimized Cs6GeBr8 structure, computed with PBE.

abc: 9.272 9.272 9.272
angles: 69.58 69.58 69.58
Sites, in units of the cell vectors:
1 Cs 0.016 0.440 0.800
2 Cs 0.200 0.984 0.560
3 Cs 0.440 0.800 0.016
4 Cs 0.560 0.200 0.984
5 Cs 0.800 0.016 0.440
6 Cs 0.984 0.560 0.200
7 Ge 0.500 0.500 0.500
8 Br 0.154 0.154 0.154
9 Br 0.202 0.651 0.410
10 Br 0.349 0.590 0.798
11 Br 0.410 0.202 0.651
12 Br 0.590 0.798 0.349
13 Br 0.651 0.410 0.202
14 Br 0.798 0.349 0.590
15 Br 0.846 0.846 0.846

Formation energy without anion corrections   -22.9 eV per formula unit
Calculated volume   676.29 Å³/cell
Density of states at the Fermi level   0.000 states/eV/atom

A geometry-optimized Cs2LaBe2Se4 structure, computed with PBE.

abc: 8.184 8.184 8.803
angles: 110.70 110.70 28.36
Sites, in units of the cell vectors:
1 Cs 0.133 0.133 0.045
2 Cs 0.867 0.867 0.955
3 La 0.000 0.000 0.500
4 Be 0.328 0.328 0.531
5 Be 0.672 0.672 0.469
6 Se 0.207 0.207 0.626
7 Se 0.463 0.463 0.730
8 Se 0.537 0.537 0.270
9 Se 0.793 0.793 0.374

Formation energy without anion corrections   -9.9 eV per formula unit
Calculated volume   260.79 Å³/cell
Density of states at the Fermi level   0.378 states/eV/atom

A geometry-optimized LaDy2TaN4 structure, computed with PBE.

abc: 6.302 6.302 12.150
angles: 90.00 90.00 148.33
Sites, in units of the cell vectors:
1 La 0.092 0.908 0.750
2 La 0.908 0.092 0.250
3 Dy 0.371 0.629 0.535
4 Dy 0.371 0.629 0.965
5 Dy 0.629 0.371 0.035
6 Dy 0.629 0.371 0.465
7 Ta 0.167 0.833 0.250
8 Ta 0.833 0.167 0.750
9 N 0.000 0.000 0.000
10 N 0.000 0.000 0.500
11 N 0.260 0.740 0.120
12 N 0.260 0.740 0.380
13 N 0.432 0.568 0.750
14 N 0.568 0.432 0.250
15 N 0.740 0.260 0.620
16 N 0.740 0.260 0.880

Formation energy without anion corrections   -10.6 eV per formula unit
Calculated volume   253.36 Å³/cell
Density of states at the Fermi level   0.302 states/eV/atom

A geometry-optimized YZnCdHg structure, computed with PBE.

abc: 7.034 7.034 7.034
angles: 90.00 90.00 90.00
Sites, in units of the cell vectors:
1 Y 0.000 0.000 0.000
2 Y 0.000 0.500 0.500
3 Y 0.500 0.000 0.500
4 Y 0.500 0.500 0.000
5 Zn 0.250 0.250 0.250
6 Zn 0.250 0.750 0.750
7 Zn 0.750 0.250 0.750
8 Zn 0.750 0.750 0.250
9 Cd 0.000 0.000 0.500
10 Cd 0.000 0.500 0.000
11 Cd 0.500 0.000 0.000
12 Cd 0.500 0.500 0.500
13 Hg 0.250 0.250 0.750
14 Hg 0.250 0.750 0.250
15 Hg 0.750 0.250 0.250
16 Hg 0.750 0.750 0.750

Calculated volume   347.99 Å³/cell
Density of states at the Fermi level   0.636 states/eV/atom
ΔE_f   -0.313 eV per atom

A geometry-optimized Cs5AgSb2 structure, computed with PBE.

abc: 10.964 10.964 10.964
angles: 34.85 34.85 34.85
Sites, in units of the cell vectors:
1 Cs 0.000 0.000 0.000
2 Cs 0.135 0.135 0.135
3 Cs 0.283 0.283 0.283
4 Cs 0.717 0.717 0.717
5 Cs 0.865 0.865 0.865
6 Ag 0.500 0.500 0.500
7 Sb 0.412 0.412 0.412
8 Sb 0.588 0.588 0.588

Formation energy without anion corrections   -3.1 eV per formula unit
Calculated volume   384.17 Å³/cell

A geometry-optimized CaSc2Br structure, computed with PBE.

abc: 3.659 5.867 10.062
angles: 90.00 90.00 90.00
Sites, in units of the cell vectors:
1 Ca 0.000 0.000 0.000
2 Ca 0.500 0.500 0.000
3 Sc 0.000 0.500 0.282
4 Sc 0.000 0.500 0.718
5 Sc 0.500 0.000 0.282
6 Sc 0.500 0.000 0.718
7 Br 0.000 0.000 0.500
8 Br 0.500 0.500 0.500

Formation energy without anion corrections   -0.9 eV per formula unit
Calculated volume   216.01 Å³/cell
Density of states at the Fermi level   1.381 states/eV/atom
Distance to the lowest polymorph of the same formula   226 meV/atom

A geometry-optimized Sr3Sn3Ir2 structure, computed with PBE.

abc: 6.229 6.229 16.192
angles: 90.00 90.00 135.84
Sites, in units of the cell vectors:
1 Sr 0.064 0.936 0.610
2 Sr 0.064 0.936 0.890
3 Sr 0.358 0.642 0.750
4 Sr 0.642 0.358 0.250
5 Sr 0.936 0.064 0.110
6 Sr 0.936 0.064 0.390
7 Sn 0.342 0.658 0.250
8 Sn 0.346 0.654 0.538
9 Sn 0.346 0.654 0.962
10 Sn 0.654 0.346 0.038
11 Sn 0.654 0.346 0.462
12 Sn 0.658 0.342 0.750
13 Ir 0.219 0.781 0.106
14 Ir 0.219 0.781 0.394
15 Ir 0.781 0.219 0.606
16 Ir 0.781 0.219 0.894

Calculated volume   437.71 Å³/cell
Density of states at the Fermi level   0.534 states/eV/atom
ΔE_f   -0.550 eV per atom

A geometry-optimized TlCo2P structure, computed with PBE.

abc: 2.867 2.836 7.169
angles: 90.00 100.26 90.00
Sites, in units of the cell vectors:
1 Tl 0.000 0.000 0.000
2 Co 0.076 0.500 0.672
3 Co 0.924 0.500 0.328
4 P 0.500 0.000 0.500

Calculated volume   57.35 Å³/cell
Density of states at the Fermi level   0.802 states/eV/atom
ΔE_f   0.099 eV per atom

A geometry-optimized AlSiTe2 structure, computed with PBE.

abc: 3.931 3.931 15.659
angles: 90.00 90.00 90.00
Sites, in units of the cell vectors:
1 Al 0.000 0.000 0.000
2 Al 0.500 0.500 0.500
3 Si 0.000 0.500 0.750
4 Si 0.500 0.000 0.250
5 Te 0.000 0.000 0.500
6 Te 0.000 0.500 0.250
7 Te 0.500 0.000 0.750
8 Te 0.500 0.500 0.000

Formation energy without anion corrections   1.4 eV per formula unit
Calculated volume   241.99 Å³/cell
Density of states at the Fermi level   0.716 states/eV/atom
Distance to the lowest polymorph of the same formula   414 meV/atom

A geometry-optimized ThScAs2 structure, computed with PBE.

abc: 4.057 4.057 20.722
angles: 90.00 90.00 120.00
Sites, in units of the cell vectors:
1 Th 0.000 0.000 0.000
2 Th 0.333 0.667 0.667
3 Th 0.667 0.333 0.333
4 Sc 0.000 0.000 0.174
5 Sc 0.333 0.667 0.840
6 Sc 0.667 0.333 0.507
7 As 0.000 0.000 0.425
8 As 0.000 0.000 0.580
9 As 0.333 0.667 0.092
10 As 0.333 0.667 0.246
11 As 0.667 0.333 0.759
12 As 0.667 0.333 0.913

Calculated volume   295.44 Å³/cell
Density of states at the Fermi level   0.733 states/eV/atom
Distance to the lowest polymorph of the same formula   156 meV/atom
ΔE_f   -1.214 eV per atom

A geometry-optimized DyZrCoOs structure, computed with PBE.

abc: 6.621 6.621 6.621
angles: 90.00 90.00 90.00
Sites, in units of the cell vectors:
1 Dy 0.000 0.000 0.000
2 Dy 0.000 0.500 0.500
3 Dy 0.500 0.000 0.500
4 Dy 0.500 0.500 0.000
5 Zr 0.000 0.000 0.500
6 Zr 0.000 0.500 0.000
7 Zr 0.500 0.000 0.000
8 Zr 0.500 0.500 0.500
9 Co 0.250 0.250 0.750
10 Co 0.250 0.750 0.250
11 Co 0.750 0.250 0.250
12 Co 0.750 0.750 0.750
13 Os 0.250 0.250 0.250
14 Os 0.250 0.750 0.750
15 Os 0.750 0.250 0.750
16 Os 0.750 0.750 0.250

Calculated volume   290.29 Å³/cell
Density of states at the Fermi level   0.404 states/eV/atom
ΔE_f   -0.271 eV per atom

A geometry-optimized Sn6Pd2Rh structure, computed with PBE.

abc: 6.920 6.749 10.472
angles: 90.00 125.14 90.00
Sites, in units of the cell vectors:
1 Sn 0.090 0.032 0.217
2 Sn 0.090 0.468 0.717
3 Sn 0.198 0.163 0.552
4 Sn 0.198 0.337 0.052
5 Sn 0.409 0.652 0.576
6 Sn 0.409 0.848 0.076
7 Sn 0.591 0.152 0.924
8 Sn 0.591 0.348 0.424
9 Sn 0.802 0.663 0.948
10 Sn 0.802 0.837 0.448
11 Sn 0.910 0.532 0.283
12 Sn 0.910 0.968 0.783
13 Pd 0.269 0.661 0.255
14 Pd 0.269 0.839 0.755
15 Pd 0.731 0.161 0.245
16 Pd 0.731 0.339 0.745
17 Rh 0.500 0.000 0.500
18 Rh 0.500 0.500 0.000

Calculated volume   399.93 Å³/cell
Density of states at the Fermi level   0.369 states/eV/atom
ΔE_f   -0.308 eV per atom

A geometry-optimized KLi2HgSe structure, computed with PBE.

abc: 4.960 4.960 6.429
angles: 90.00 90.00 90.00
Sites, in units of the cell vectors:
1 K 0.000 0.000 0.000
2 Li 0.000 0.500 0.500
3 Li 0.500 0.000 0.500
4 Hg 0.500 0.500 0.000
5 Se 0.000 0.000 0.500

Formation energy without anion corrections   -3.1 eV per formula unit
Calculated volume   158.12 Å³/cell
Density of states at the Fermi level   0.631 states/eV/atom

A geometry-optimized Ba3NaSb structure, computed with PBE.

abc: 6.790 6.790 6.790
angles: 90.00 90.00 90.00
Sites, in units of the cell vectors:
1 Ba 0.000 0.000 0.500
2 Ba 0.000 0.500 0.000
3 Ba 0.500 0.000 0.000
4 Na 0.500 0.500 0.500
5 Sb 0.000 0.000 0.000

Formation energy without anion corrections   -1.9 eV per formula unit
Calculated volume   313.02 Å³/cell
Density of states at the Fermi level   1.021 states/eV/atom
Distance to the lowest polymorph of the same formula   0 meV/atom

A geometry-optimized InRu2Br structure, computed with PBE.

abc: 4.542 3.088 5.272
angles: 90.00 111.14 90.00
Sites, in units of the cell vectors:
1 In 0.000 0.000 0.000
2 Ru 0.500 0.000 0.500
3 Ru 0.500 0.500 0.000
4 Br 0.000 0.500 0.500

Formation energy without anion corrections   2.5 eV per formula unit
Calculated volume   68.96 Å³/cell
Density of states at the Fermi level   0.787 states/eV/atom
Distance to the lowest polymorph of the same formula   365 meV/atom

A geometry-optimized Na4ZnSe3 structure, computed with PBE.

abc: 8.024 8.024 9.742
angles: 111.96 111.96 52.00
Sites, in units of the cell vectors:
1 Na 0.154 0.846 0.500
2 Na 0.206 0.638 0.774
3 Na 0.395 0.826 0.136
4 Na 0.552 0.991 0.522
5 Na 0.638 0.206 0.274
6 Na 0.826 0.395 0.636
7 Na 0.846 0.154 0.000
8 Na 0.991 0.552 0.022
9 Zn 0.092 0.435 0.379
10 Zn 0.435 0.092 0.879
11 Se 0.075 0.132 0.341
12 Se 0.132 0.075 0.841
13 Se 0.411 0.424 0.026
14 Se 0.424 0.411 0.526
15 Se 0.762 0.808 0.788
16 Se 0.808 0.762 0.288

Formation energy without anion corrections   -7.6 eV per formula unit
Calculated volume   449.40 Å³/cell
Density of states at the Fermi level   0.000 states/eV/atom

A geometry-optimized CeNb2Ru3 structure, computed with PBE.

abc: 3.142 3.142 10.699
angles: 90.00 90.00 90.00
Sites, in units of the cell vectors:
1 Ce 0.000 0.000 0.000
2 Nb 0.000 0.000 0.343
3 Nb 0.000 0.000 0.657
4 Ru 0.500 0.500 0.205
5 Ru 0.500 0.500 0.500
6 Ru 0.500 0.500 0.795

Calculated volume   105.63 Å³/cell
Density of states at the Fermi level   0.827 states/eV/atom
ΔE_f   -0.292 eV per atom